No. 1
Below is crystalline K2H6IrAu at its relaxed geometry, with properties calculated at the PBE level.

```
K2H6IrAu
1.0
5.389 0.000 0.000
0.000 5.655 0.000
0.000 -2.828 4.897
K H Ir Au
2 6 1 1
Direct
0.235 0.333 0.667
0.765 0.667 0.333
0.834 0.146 0.292
0.834 0.146 0.854
0.834 0.708 0.854
0.166 0.854 0.146
0.166 0.292 0.146
0.166 0.854 0.708
0.000 0.000 0.000
0.500 0.000 0.000
```

* volume: 149.2 Å³/f.u.
* raw total energy: -3.724 eV/atom
* SG: P-3m1, No. 164



No. 2
Below is crystalline ScAlW2 at its relaxed geometry, with properties calculated at the PBE level.

```
ScAlW2
1.0
2.762 0.000 0.000
0.000 2.762 0.000
0.000 0.000 8.994
Sc Al W
1 1 2
Direct
0.500 0.500 0.750
0.000 0.000 0.485
0.000 0.000 0.005
0.500 0.500 0.261
```

* volume: 68.6 Å³/f.u.
* calculated formation energy: 128 meV per atom
* SG: P4mm, No. 99



No. 3
Below is crystalline Sr2Cd3Hg6 at its relaxed geometry, with properties calculated at the PBE level.

```
Sr2Cd3Hg6
1.0
-0.133 4.223 -0.671
-2.237 1.281 8.512
7.221 1.035 5.087
Sr Cd Hg
2 3 6
Direct
0.000 0.292 0.708
0.000 0.708 0.292
0.000 0.245 0.245
0.000 0.755 0.755
0.500 0.000 0.000
0.500 0.386 0.386
0.500 0.614 0.614
0.500 0.978 0.343
0.500 0.022 0.657
0.500 0.343 0.978
0.500 0.657 0.022
```

* volume: 315.7 Å³/f.u.
* calculated formation energy: -227 meV per atom
* SG: Cmmm, No. 65